Record 1
This record from Alexandria via LeMat-Bulk describes an optimized crystal structure of FeNi2PdC. The functional is PBE.

Calculated values
Its crystal system is tetragonal. For the energy above the most stable polymorph in this dataset, the calculation gives 1005.4 meV/atom. The calculated formation energy comes out at 1.118 eV/atom. The space group is P4/mmm, No. 123.

Cell: 4.364 3.518 4.364 Å, 90.00 90.00 90.00°
Each line ends with the local moment (μB).
Sites, in units of the cell vectors:
1 Ni 0.000 0.000 0.500  0.92
2 Ni 0.500 0.000 0.000  0.66
3 C 0.000 0.500 0.000  -0.04
4 Fe 0.000 0.000 0.000  1.38
5 Pd 0.500 0.500 0.500  0.11



Record 2
This record from Alexandria via LeMat-Bulk describes an optimized crystal structure of LaHfAs2. The functional is PBE.

Calculated values
Its crystal system is tetragonal. For the energy above the most stable polymorph in this dataset, the calculation gives 434.9 meV/atom. The calculated formation energy comes out at -0.844 eV/atom. The space group is I-42d, No. 122.

Cell: 7.495 7.495 6.456 Å, 54.52 54.52 90.00°
Sites, in units of the cell vectors:
1 As 0.666 0.125 0.250
2 As 0.084 0.625 0.250
3 As 0.375 0.334 0.750
4 As 0.875 0.916 0.750
5 Hf 0.000 0.000 0.000
6 Hf 0.750 0.250 0.500
7 La 0.500 0.500 0.000
8 La 0.250 0.750 0.500



Record 3
This record from Alexandria via LeMat-Bulk describes an optimized crystal structure of PmDyHoMg. The functional is PBE.

Calculated values
Its crystal system is tetragonal. For the energy above the most stable polymorph in this dataset, the calculation gives 0.0 meV/atom. The calculated formation energy comes out at -0.028 eV/atom. The space group is P4mm, No. 99.

Cell: 3.629 3.629 9.121 Å, 90.00 90.00 90.00°
Sites, in units of the cell vectors:
1 Pm 0.000 0.000 0.072
2 Dy 0.500 0.500 0.800
3 Ho 0.500 0.500 0.343
4 Mg 0.000 0.000 0.570